# LiCe2Zn

An optimized crystal structure of LiCe2Zn (PBE-GGA, the Alexandria database).

## Properties
calculated density = 6.70 g/cm3
space-group type = P4/mmm, No. 123
final energy = -0.2758 Ry per atom
formation energy = 0.012 eV per atom
E above lowest polymorph = 0 meV per atom
total moment = 0.1794 μB/atom

Unit cell a=4.3188 b=4.3188 c=4.6841 alpha=90.00 beta=90.00 gamma=90.00
With the nearest neighbours (Å) after each atom.
Element x y z (fractional)
Li 0.0000 0.0000 0.0000  4 Zn 3.05, 8 Ce 3.19
Ce 0.0000 0.5000 0.5000  4 Ce 3.05, 4 Zn 3.19, 4 Li 3.19
Ce 0.5000 0.0000 0.5000  4 Ce 3.05, 4 Zn 3.19, 4 Li 3.19
Zn 0.5000 0.5000 0.0000  4 Li 3.05, 8 Ce 3.19

# Li2Ce2Zn15

An optimized crystal structure of Li2Ce2Zn15 (PBE-GGA, the Alexandria database).

## Properties
calculated density = 6.75 g/cm3
space-group type = R-3m, No. 166
final energy = -0.1522 Ry per atom
formation energy = -0.239 eV per atom
total moment = 0.0792 μB/atom

Unit cell a=6.8400 b=6.8400 c=6.8400 alpha=83.23 beta=83.23 gamma=83.23
With the nearest neighbours (Å) after each atom.
Element x y z (fractional)
Li 0.0991 0.0991 0.0991  1 Li 2.61, 6 Zn 2.77-2.87
Li 0.9009 0.9009 0.9009  1 Li 2.61, 6 Zn 2.77-2.87
Ce 0.3410 0.3410 0.3410  1 Li 3.19, 18 Zn 3.21-3.49
Ce 0.6590 0.6590 0.6590  1 Li 3.19, 18 Zn 3.21-3.49
Zn 0.0000 0.0000 0.5000  8 Zn 2.59-2.65, 2 Li 2.77
Zn 0.0000 0.2947 0.7053  8 Zn 2.59-2.75
Zn 0.0000 0.5000 0.0000  8 Zn 2.59-2.65, 2 Li 2.77
Zn 0.0000 0.7053 0.2947  8 Zn 2.59-2.75
Zn 0.1584 0.6503 0.6503  8 Zn 2.60-2.75, 1 Li 2.87
Zn 0.2947 0.0000 0.7053  8 Zn 2.59-2.75
Zn 0.2947 0.7053 0.0000  8 Zn 2.59-2.75
Zn 0.3497 0.3497 0.8416  8 Zn 2.60-2.75, 1 Li 2.87
Zn 0.3497 0.8416 0.3497  8 Zn 2.60-2.75, 1 Li 2.87
Zn 0.5000 0.0000 0.0000  8 Zn 2.59-2.65, 2 Li 2.77
Zn 0.6503 0.1584 0.6503  8 Zn 2.60-2.75, 1 Li 2.87
Zn 0.6503 0.6503 0.1584  8 Zn 2.60-2.75, 1 Li 2.87
Zn 0.7053 0.0000 0.2947  8 Zn 2.59-2.75
Zn 0.7053 0.2947 0.0000  8 Zn 2.59-2.75
Zn 0.8416 0.3497 0.3497  8 Zn 2.60-2.75, 1 Li 2.87

# Li2CeZn

An optimized crystal structure of Li2CeZn (PBE-GGA, the Alexandria database).

## Properties
calculated density = 4.78 g/cm3
space-group type = P4/mmm, No. 123
final energy = -0.2009 Ry per atom
formation energy = 0.026 eV per atom
E above lowest polymorph = 0 meV per atom
total moment = 0.0260 μB/atom

Unit cell a=2.8772 b=2.8772 c=9.2139 alpha=90.00 beta=90.00 gamma=90.00
With the nearest neighbours (Å) after each atom.
Element x y z (fractional)
Li 0.0000 0.0000 0.1971  4 Zn 2.73, 4 Li 2.88
Li 0.0000 0.0000 0.8029  4 Zn 2.73, 4 Li 2.88
Ce 0.5000 0.5000 0.5000  4 Ce 2.88
Zn 0.5000 0.5000 0.0000  8 Li 2.73, 4 Zn 2.88

# LiCeZr2

An optimized crystal structure of LiCeZr2 (PBE-GGA, the Alexandria database).

## Properties
calculated density = 5.76 g/cm3
space-group type = R-3m, No. 166
final energy = -0.4378 Ry per atom
formation energy = 0.279 eV per atom
total moment = 0.0000 μB/atom

Unit cell a=3.0155 b=3.0155 c=36.1582 alpha=90.00 beta=90.00 gamma=120.00
With the nearest neighbours (Å) after each atom.
Element x y z (fractional)
Li 0.0000 0.0000 0.0000  2 Zr 2.98, 6 Li 3.02
Li 0.3333 0.6667 0.6667  2 Zr 2.98, 6 Li 3.02
Li 0.6667 0.3333 0.3333  2 Zr 2.98, 6 Li 3.02
Ce 0.0000 0.0000 0.5000  6 Ce 3.02
Ce 0.3333 0.6667 0.1667  6 Ce 3.02
Ce 0.6667 0.3333 0.8333  6 Ce 3.02
Zr 0.0000 0.0000 0.0825  1 Li 2.98, 6 Zr 3.02
Zr 0.0000 0.0000 0.9175  1 Li 2.98, 6 Zr 3.02
Zr 0.3333 0.6667 0.5842  1 Li 2.98, 6 Zr 3.02
Zr 0.3333 0.6667 0.7492  1 Li 2.98, 6 Zr 3.02
Zr 0.6667 0.3333 0.2508  1 Li 2.98, 6 Zr 3.02
Zr 0.6667 0.3333 0.4158  1 Li 2.98, 6 Zr 3.02

> What is the total moment in the fourth record?

0.0000 μB/atom